First-principles (PBE-GGA) data for In2RhCl after structural relaxation, as listed in Alexandria via LeMat-Bulk.

Values from the calculation:
The relative energy among the computed polymorphs is 149 kJ/mol of formula units. The value obtained for the uncorrected formation energy is -0.082 eV per atom. For the final energy, the calculation gives -3.75 eV per atom. The symmetry is P4mm. As for the crystal system: tetragonal. For the density of states at the Fermi level, the calculation gives 2.590 states/eV/cell.

```
In2RhCl
1.0
3.2959 0.0000 0.0000
0.0000 3.2959 0.0000
0.0000 0.0000 8.0270
In Rh Cl
2 1 1
direct
0.0000 0.0000 0.0000
0.5000 0.5000 0.3274
0.0000 0.0000 0.4994
0.5000 0.5000 0.7310
```

First-principles (PBE-GGA) data for BaMn2Cl after structural relaxation, as listed in Alexandria via LeMat-Bulk.

Values from the calculation:
The relative energy among the computed polymorphs is 19 kJ/mol of formula units. The value obtained for the uncorrected formation energy is 0.057 eV per atom. For the final energy, the calculation gives -5.47 eV per atom. The symmetry is P2/m. As for the crystal system: monoclinic. For the density of states at the Fermi level, the calculation gives 2.670 states/eV/cell.

```
BaMn2Cl
1.0
3.5843 0.0000 0.0000
0.0000 6.5295 0.0000
-0.0145 0.0000 4.7670
Ba Mn Cl
1 2 1
direct
0.0000 0.0000 0.0000
0.2667 0.5000 0.7670
0.7333 0.5000 0.2330
0.5000 0.0000 0.5000
```